A relaxed structure of K8ZrMo6O24, computed with GGA+U.

Properties
Its total energy is -6.5548 eV per atom.

Structure (CIF):
```
data_K8ZrMo6O24
_symmetry_space_group_name_H-M 'P 1 21/c 1'
_symmetry_Int_Tables_number 14
_cell_length_a 10.501
_cell_length_b 12.127
_cell_length_c 13.305
_cell_angle_alpha 90.00
_cell_angle_beta 119.03
_cell_angle_gamma 90.00
loop_
_symmetry_equiv_pos_as_xyz
'x,y,z'
'-x,-y,-z'
'-x,y+1/2,-z+1/2'
'x,-y+1/2,z+1/2'
loop_
_atom_site_label
_atom_site_type_symbol
_atom_site_fract_x
_atom_site_fract_y
_atom_site_fract_z
K1 K 0.098 0.218 0.417
K2 K 0.152 0.572 0.390
K3 K 0.310 0.704 0.706
K4 K 0.330 0.059 0.718
Zr1 Zr 0.500 0.000 0.500
Mo1 Mo 0.117 0.610 0.903
Mo2 Mo 0.260 0.100 0.201
Mo3 Mo 0.481 0.182 0.006
O1 O 0.038 0.021 0.655
O2 O 0.106 0.701 0.004
O3 O 0.121 0.689 0.792
O4 O 0.132 0.135 0.246
O5 O 0.177 0.004 0.088
O6 O 0.287 0.526 0.979
O7 O 0.302 0.127 0.927
O8 O 0.308 0.223 0.152
O9 O 0.411 0.616 0.359
O10 O 0.419 0.029 0.322
O11 O 0.432 0.658 0.578
O12 O 0.479 0.167 0.531
```